SbC2SI | PBE | relaxed

Results
E_tot   -0.122 Ha/atom
Total moment   0.83 μB/f.u.
Formation energy without anion corrections   2.33 eV per atom

Cell: 4.152 5.595 4.152 Å, 90.00 90.00 90.00°
Element x y z (fractional)
Sb: 0.000 0.500 0.000
C: 0.000 0.000 0.500
C: 0.500 0.000 0.000
I: 0.500 0.500 0.500
S: 0.000 0.000 0.000